# 1
LiZrMoS2: relaxed, PBE.

It has space group P4/mmm (No. 123), with a = 5.0341 Å, b = 5.0341 Å, c = 5.3002 Å, α = 90.00°, β = 90.00° and γ = 90.00°. Symmetry generates all atoms from Li at (0.0000, 0.0000, 0.0000), Zr at (0.5000, 0.5000, 0.5000), Mo at (0.5000, 0.5000, 0.0000) and S at (0.0000, 0.5000, 0.5000).

As for the size of the total moment: 0.904 μB per atom. The uncorrected formation energy is 0.32 eV per atom.

=====

# 2
RbTlCl2: relaxed, PBE.

It has space group P4/mmm (No. 123), with a = 5.5727 Å, b = 5.5727 Å, c = 3.9315 Å, α = 90.00°, β = 90.00° and γ = 90.00°. Symmetry generates all atoms from Rb at (0.0000, 0.0000, 0.0000), Tl at (0.5000, 0.5000, 0.0000) and Cl at (0.0000, 0.5000, 0.5000).

As for the size of the total moment: 0.000 μB per atom. The uncorrected formation energy is -1.43 eV per atom. As for the energy relative to the lowest polymorph listed for this composition: 52.4 meV per atom.

=====

# 3
PmThScHg: relaxed, PBE.

It has space group F-43m (No. 216), with a = 7.5767 Å, b = 7.5767 Å, c = 7.5767 Å, α = 90.00°, β = 90.00° and γ = 90.00°. Symmetry generates all atoms from Pm at (0.0000, 0.0000, 0.0000), Th at (0.2500, 0.2500, 0.2500), Sc at (0.2500, 0.2500, 0.7500) and Hg at (0.0000, 0.0000, 0.5000).

As for the energy of formation from the pure elements: 52.0 meV per atom. As for the size of the total moment: 0.000 μB per atom.

=====

# 4
TbPm3Nd8: relaxed, PBE.

It has space group C2 (No. 5), with a = 15.8630 Å, b = 8.9072 Å, c = 6.4948 Å, α = 90.00°, β = 114.06° and γ = 90.00°. Symmetry generates all atoms from Tb at (0.0000, 0.0000, 0.0000), Pm at (0.0000, 0.6161, 0.5000), Pm at (0.1258, 0.6730, 0.1396), Nd at (0.0693, 0.3140, 0.8269), Nd at (0.1256, 0.9485, 0.6129), Nd at (0.1712, 0.3142, 0.4332) and Nd at (0.2479, 0.0661, 0.1496).

As for the energy of formation from the pure elements: 109.8 meV per atom. As for the size of the total moment: 0.000 μB per atom.

=====

# 5
AgSb2Br: relaxed, PBE.

It has space group Amm2 (No. 38), with a = 4.3542 Å, b = 4.1365 Å, c = 12.8927 Å, α = 90.00°, β = 90.00° and γ = 90.00°. Symmetry generates all atoms from Ag at (0.0000, 0.0000, 0.0000), Sb at (0.5000, 0.0000, 0.1553), Sb at (0.5000, 0.0000, 0.4958) and Br at (0.0000, 0.0000, 0.7908).

As for the size of the total moment: 0.000 μB per atom. The uncorrected formation energy is -0.05 eV per atom. As for the energy relative to the lowest polymorph listed for this composition: 75.1 meV per atom.

=====

# 6
SrPdSe: relaxed, PBE.

It has space group P6_3/mmc (No. 194), with a = 4.4652 Å, b = 4.4652 Å, c = 8.2701 Å, α = 90.00°, β = 90.00° and γ = 120.00°. Symmetry generates all atoms from Sr at (0.0000, 0.0000, 0.0000), Pd at (0.3333, 0.6667, 0.2500) and Se at (0.3333, 0.6667, 0.7500).

As for the size of the total moment: 0.000 μB per atom. The uncorrected formation energy is -1.22 eV per atom.

=====

# 7
RbTl2In3Br6: relaxed, PBE.

It has space group C2/m (No. 12), with a = 20.8450 Å, b = 4.7812 Å, c = 9.5559 Å, α = 90.00°, β = 103.19° and γ = 90.00°. Symmetry generates all atoms from Rb at (0.0000, 0.0000, 0.0000), Tl at (0.1669, 0.5000, 0.3344), In at (0.0000, 0.0000, 0.5000), In at (0.1665, 0.5000, 0.8313), Br at (0.0000, 0.5000, 0.2559), Br at (0.1676, 0.0000, 0.5850) and Br at (0.1704, 0.0000, 0.0828).

As for the size of the total moment: 0.000 μB per atom. The uncorrected formation energy is -0.90 eV per atom.

=====

# 8
CePm3Sn6: relaxed, PBE.

It has space group P2_1/c (No. 14), with a = 7.4046 Å, b = 9.6709 Å, c = 10.6445 Å, α = 90.00°, β = 128.86° and γ = 90.00°. Symmetry generates all atoms from Ce at (0.0000, 0.0000, 0.0000), Pm at (0.2344, 0.0989, 0.7020), Pm at (0.5000, 0.0000, 0.5000), Sn at (0.0021, 0.1850, 0.2988), Sn at (0.2826, 0.7277, 0.0761) and Sn at (0.4413, 0.1697, 0.0710).

As for the energy of formation from the pure elements: -474.3 meV per atom. As for the size of the total moment: 0.117 μB per atom.

=====

# 9
PrCdPd: relaxed, PBE.

It has space group C2/m (No. 12), with a = 11.7869 Å, b = 4.6499 Å, c = 5.4104 Å, α = 90.00°, β = 99.95° and γ = 90.00°. Symmetry generates all atoms from Pr at (0.1246, 0.0000, 0.2998), Cd at (0.0826, 0.5000, 0.7664) and Pd at (0.2225, 0.0000, 0.8360).

As for the energy of formation from the pure elements: -577.1 meV per atom. As for the size of the total moment: 0.000 μB per atom.

=====

# 10
Tb2Al2Si2C: relaxed, PBE.

It has space group I4/mmm (No. 139), with a = 4.1241 Å, b = 4.1241 Å, c = 14.8060 Å, α = 90.00°, β = 90.00° and γ = 90.00°. Symmetry generates all atoms from Tb at (0.0000, 0.0000, 0.1617), Al at (0.0000, 0.5000, 0.0000), Si at (0.0000, 0.0000, 0.3712) and C at (0.0000, 0.0000, 0.0000).

As for the size of the total moment: 0.000 μB per atom. The uncorrected formation energy is -0.44 eV per atom.

=====

# 11
CsBi2Pb2: relaxed, PBE.

It has space group P4/mbm (No. 127), with a = 9.9520 Å, b = 9.9520 Å, c = 3.8245 Å, α = 90.00°, β = 90.00° and γ = 90.00°. Symmetry generates all atoms from Cs at (0.0000, 0.0000, 0.0000), Bi at (0.1570, 0.3430, 0.5000) and Pb at (0.1209, 0.6209, 0.0000).

As for the energy of formation from the pure elements: -124.1 meV per atom. As for the size of the total moment: 0.000 μB per atom. As for the energy relative to the lowest polymorph listed for this composition: 78.1 meV per atom.

=====

# 12
SrWBr4: relaxed, PBE.

It has space group F-43m (No. 216), with a = 9.0648 Å, b = 9.0648 Å, c = 9.0648 Å, α = 90.00°, β = 90.00° and γ = 90.00°. Symmetry generates all atoms from Sr at (0.0000, 0.0000, 0.0000), W at (0.2500, 0.2500, 0.7500) and Br at (0.1250, 0.1250, 0.3750).

As for the size of the total moment: 0.686 μB per atom. The uncorrected formation energy is 0.65 eV per atom.

=====

Density of states at the Fermi level: 3.83; 0.00; 33.31; 37.37; 3.93; 0.03; 0.00; 23.29; 8.81; 2.82; 3.09; 29.00 (states/eV/cell)